(1)
9
Lattice="5.5984 0.0000 0.0000 0.0000 5.5984 0.0000 0.0000 0.0000 11.7201" Properties=species:S:1:pos:R:3 comment="Rb6TeO2 PBE relaxed" e_form_raw_ev_per_fu=-8.32 pbc="T T T"
Rb 2.7992 0.0000 8.4076
Rb 0.0000 2.7992 8.4076
Rb 2.7992 0.0000 3.3124
Rb 0.0000 2.7992 3.3124
Rb 2.7992 2.7992 5.8600
Rb 2.7992 2.7992 0.0000
Te 0.0000 0.0000 5.8600
O 2.7992 2.7992 8.9991
O 2.7992 2.7992 2.7209

(2)
17
Lattice="-8.4160 2.2217 2.3786 2.8645 -4.5946 7.0779 4.0143 7.9364 -0.5582" Properties=species:S:1:pos:R:3 comment="Rb11TeO5 PBE relaxed" e_form_raw_ev_per_fu=-15.15 pbc="T T T"
Rb 1.4242 2.7854 4.7854
Rb -2.9615 2.7781 4.1130
Rb -2.3719 6.5289 1.9892
Rb 0.8346 -0.9654 6.9091
Rb 1.5128 6.4258 2.4051
Rb -3.0501 -0.8623 6.4933
Rb -4.2080 1.1109 1.1893
Rb 4.3864 0.8840 5.6750
Rb -5.9237 4.6795 3.2233
Rb -6.2125 1.5315 5.1417
Rb 4.6753 4.0320 3.7567
Te 0.0000 0.0000 0.0000
O -3.8084 4.0499 1.7655
O 2.2711 1.5136 7.1329
O 2.6202 5.3180 4.8146
O -4.1575 0.2454 4.0838
O 3.4394 1.6709 3.2599

(3)
5
Lattice="-0.9058 0.1172 4.0253 1.8386 -3.6588 0.5203 3.5828 1.9072 0.7507" Properties=species:S:1:pos:R:3 comment="RbTeO3 PBE relaxed" e_form_raw_ev_per_fu=-5.73 pbc="T T T"
Te 0.0000 0.0000 0.0000
O 0.9193 -1.8294 0.2601
O 1.7914 0.9536 0.3753
O -0.4529 0.0586 2.0127
Rb 2.2578 -0.8172 2.6481

(4)
80
Lattice="16.0361 0.0000 0.0000 -5.3454 15.1190 0.0000 -5.3454 -7.5595 13.0934" Properties=species:S:1:pos:R:3 comment="Rb12Te3O5 PBE relaxed" e_form_raw_ev_per_fu=-16.71 pbc="T T T"
Te 9.3544 4.7247 1.6367
Te 9.3544 10.3943 1.6367
Te -1.3363 6.6146 8.1834
Te 1.3363 -0.9449 4.9100
Te 12.0271 0.0000 3.2734
Te 1.3363 7.5595 3.2734
Te 4.0090 0.0000 9.8201
Te -6.6817 7.5595 9.8201
Te 4.0090 8.5044 8.1834
Te 6.6817 0.9449 4.9100
Te -4.0090 -2.8348 11.4568
Te -4.0090 2.8348 11.4568
O -1.3363 3.7798 3.2734
O -2.6727 7.5595 0.0000
O 0.0000 0.0000 0.0000
O 4.0090 2.8348 1.6367
O 5.3454 -3.7798 6.5467
O 5.3454 7.5595 0.0000
O -4.0090 8.5044 4.9100
O 6.6817 -4.7247 11.4568
O 6.6817 6.6146 4.9100
O 1.3363 -3.7798 9.8201
O 4.0090 11.3393 3.2734
O 2.6727 3.7798 6.5467
O 8.0181 0.0000 0.0000
O -2.6727 -3.7798 6.5467
O -1.3363 0.9449 8.1834
O -1.3363 12.2842 1.6367
O -5.3454 3.7798 6.5467
O 9.3544 -0.9449 8.1834
O 1.3363 4.7247 11.4568
O 6.6817 3.7798 9.8201
Rb 10.4617 1.5660 0.2136
Rb 0.2291 4.7477 5.2973
Rb 12.0691 3.5650 3.9927
Rb 6.6397 2.1045 1.4630
Rb 2.0108 5.3776 8.8872
Rb 11.6363 7.6509 2.3405
Rb -1.3784 9.0200 5.4556
Rb -3.9670 13.0145 1.4630
Rb 0.6619 9.7414 8.8872
Rb 7.0725 7.4681 2.3405
Rb 8.2472 4.3778 5.0837
Rb 8.2471 13.5530 0.2136
Rb -4.6835 6.6056 6.7603
Rb 3.6182 5.4869 1.0911
Rb -5.5745 10.7412 5.0837
Rb 2.9018 -2.8118 7.7961
Rb -0.6619 1.2280 2.5540
Rb 3.6182 9.5407 1.2494
Rb 6.6397 11.5540 3.9927
Rb -0.9455 5.5783 1.2494
Rb -3.3346 8.7874 10.5394
Rb 4.0510 6.0990 5.4556
Rb 7.3562 8.5134 6.7603
Rb 6.2909 -2.0726 12.0024
Rb 1.2943 1.4605 7.6378
Rb -2.0108 -0.9539 6.3331
Rb -0.9456 9.6321 1.0911
Rb -1.2943 -3.9945 9.1008
Rb 8.6800 -1.2279 2.5540
Rb 6.2909 1.9812 11.8441
Rb 1.7272 -1.9812 11.8441
Rb 2.4436 10.3713 5.2973
Rb 6.0073 6.3315 10.5394
Rb 10.9198 -3.1817 8.0097
Rb 10.0289 0.9539 6.3331
Rb -2.9018 -5.9935 12.8799
Rb 1.7272 2.0726 12.0024
Rb 4.6835 -2.1818 4.2063
Rb -1.7271 0.0914 10.7530
Rb -2.9018 3.1817 8.0097
Rb 9.3124 -5.4550 11.6305
Rb 6.7237 -1.4605 7.6378
Rb -1.2943 5.4550 11.6305
Rb -6.2909 -0.0914 10.7530
Rb 3.3346 2.1819 4.2063
Rb -6.7237 3.9945 9.1008
Rb 5.1163 2.8118 7.7961
Rb -5.1163 5.9935 12.8799

(5)
12
Lattice="-3.3054 -5.2155 -0.5051 6.1696 -0.1785 -0.5362 0.6664 -1.2036 8.0682" Properties=species:S:1:pos:R:3 comment="RbThTe2O8 PBE relaxed" e_form_raw_ev_per_fu=-19.67 pbc="T T T"
Rb 0.0000 0.0000 0.0000
Th 0.3332 -0.6018 4.0341
Te 0.0135 -3.8267 1.4297
Te 3.5170 -2.7710 5.5973
O 3.6664 -3.0408 7.4061
O 0.1484 -2.1717 2.3719
O -1.5017 -4.7591 2.1221
O -0.1359 -3.5569 -0.3792
O 5.0322 -1.8386 4.9048
O 3.3821 -4.4259 4.6551
O 1.9665 -1.7412 5.1725
O 1.5640 -4.8565 1.8544

(6)
20
Lattice="6.0672 0.0000 0.0000 0.0000 6.0669 0.0000 0.0000 0.0000 8.5799" Properties=species:S:1:pos:R:3 comment="Rb2ThTeO6 PBE relaxed" e_form_raw_ev_per_fu=-21.31 pbc="T T T"
Rb 3.0336 4.5493 2.1449
Rb 0.0000 1.5175 6.4349
Rb 3.0336 4.5493 6.4350
Rb 0.0000 1.5175 2.1450
Th 0.0000 4.5502 4.2899
Th 3.0336 1.5167 0.0000
Te 3.0336 1.5160 4.2899
Te 0.0000 4.5509 0.0000
O 3.0336 1.5157 2.3150
O 3.0336 1.5157 6.2649
O 0.0000 4.5512 1.9750
O 0.0000 4.5512 6.6049
O 1.6372 0.1192 4.2899
O 4.4300 0.1192 4.2899
O 1.6370 2.9127 4.2899
O 4.4302 2.9127 4.2899
O 4.6706 3.1542 0.0000
O 1.3966 3.1542 0.0000
O 1.3964 5.9477 0.0000
O 4.6708 5.9477 0.0000

(7)
20
Lattice="-2.4460 4.6129 -3.4322 -7.2383 -2.7427 -1.7135 -3.3305 4.6738 5.4694" Properties=species:S:1:pos:R:3 comment="RbTi2TeO6 PBE relaxed" e_form_raw_ev_per_fu=-22.01 pbc="T T T"
Rb -7.3933 -0.7231 -1.7325
Rb -5.6215 7.2672 2.0562
Ti -8.9717 2.1512 1.1186
Ti -3.5300 0.7390 -0.3838
Ti -4.0431 4.3929 -0.7949
Ti -9.4848 5.8050 0.7075
Te -5.1699 3.4966 2.3543
Te -7.8449 3.0474 -2.0306
O -3.3910 4.1845 3.1422
O -5.8130 4.9646 3.6544
O -9.6239 2.3596 -2.8185
O -7.2019 1.5795 -3.3307
O -8.2803 1.6551 -0.4722
O -5.0169 -0.2747 -0.2551
O -4.7345 4.8889 0.7959
O -7.9979 6.8187 0.5788
O -8.0041 1.5163 2.5956
O -3.8768 2.5523 -0.7195
O -5.0107 5.0277 -2.2719
O -9.1381 3.9918 1.0432

(8)
12
Lattice="5.1566 0.9333 0.7583 0.9685 5.1517 0.7474 1.1909 1.2013 7.3516" Properties=species:S:1:pos:R:3 comment="RbTi2TeO8 PBE relaxed" e_form_raw_ev_per_fu=-23.40 pbc="T T T"
Rb 0.5954 0.6007 3.6758
Ti 3.6213 3.6112 6.1485
Ti 3.6947 3.6752 2.7088
Te 0.0000 0.0000 0.0000
O 2.0132 4.2432 2.1245
O 4.7631 4.7333 1.6474
O 4.2522 1.9881 2.1302
O 5.3028 3.0432 6.7329
O 2.5528 2.5531 7.2099
O 3.0638 5.2982 6.7271
O 4.3909 4.3708 4.3387
O 2.9251 2.9155 4.5186

(9)
18
Lattice="5.3520 0.0000 0.0000 -2.6760 4.6350 0.0000 0.0000 0.0000 12.4639" Properties=species:S:1:pos:R:3 comment="RbTiTeO6 PBE relaxed" e_form_raw_ev_per_fu=-15.07 pbc="T T T"
Rb 0.0000 0.0000 0.0000
Rb 0.0000 0.0000 6.2320
Ti 2.6760 1.5450 3.1160
Ti 0.0000 3.0900 9.3479
Te 0.0000 3.0900 3.1160
Te 2.6760 1.5450 9.3479
O 1.5963 2.8062 2.0321
O -1.0440 1.8494 2.0321
O 2.1236 0.0206 8.2640
O 3.7200 2.7856 10.4318
O 1.0440 1.8494 4.1999
O -1.5963 2.8062 4.1999
O 3.2284 0.0206 10.4318
O 0.5524 4.6144 4.1999
O 4.2724 1.8288 8.2640
O -0.5524 4.6144 2.0321
O 1.6321 2.7856 8.2640
O 1.0797 1.8288 10.4318

(10)
18
Lattice="-2.9303 3.4417 -5.6456 -4.1304 -1.8767 5.6885 -2.1310 6.8735 0.7204" Properties=species:S:1:pos:R:3 comment="Rb2TiTe3O12 PBE relaxed" e_form_raw_ev_per_fu=-27.60 pbc="T T T"
Rb -2.6409 4.9967 -0.2941
Rb -6.5286 3.4519 1.0268
Ti -2.0542 -0.9334 2.8291
Te -5.6503 7.6610 0.7266
Te -5.5846 -0.1508 2.8505
Te -3.1197 2.5034 3.1892
O -7.2909 7.0864 1.6725
O -5.0095 4.3746 -2.2189
O -4.5179 6.4854 1.6967
O -4.8429 1.5737 3.4767
O -6.1077 5.7632 3.8862
O -3.2050 2.3180 1.2208
O -1.8787 1.3621 -0.9396
O -4.1602 4.0738 2.9519
O -4.6518 1.9630 -0.9638
O -4.3267 6.8748 -2.7438
O -3.0620 2.6854 -3.1532
O -5.9648 6.1305 -0.4879

(11)
11
Lattice="-6.0723 -1.8298 -1.4846 2.7586 -1.9362 5.3918 -2.6931 7.1221 2.2369" Properties=species:S:1:pos:R:3 comment="Rb2TlTe2O6 PBE relaxed" e_form_raw_ev_per_fu=-12.44 pbc="T T T"
Rb -4.0838 -0.4131 2.9243
Rb -1.9230 3.7691 3.2198
Tl -4.3827 2.6461 0.3761
Te -5.3763 2.6797 4.3988
Te -0.6305 0.6763 1.7453
O -5.1612 3.3818 2.6537
O -2.3114 1.4314 1.3605
O -0.3129 2.9439 5.6106
O -3.6954 1.9246 4.7837
O -5.6938 0.4121 0.5335
O -0.8456 -0.0258 3.4904

(12)
12
Lattice="4.9310 0.1898 0.0056 0.1900 4.9450 0.0558 0.0217 0.1090 8.5306" Properties=species:S:1:pos:R:3 comment="RbTl2TeO8 PBE relaxed" e_form_raw_ev_per_fu=-8.39 pbc="T T T"
Rb 0.0108 0.0545 4.2653
Tl 2.6424 2.7409 7.0238
Tl 2.5003 2.5030 1.5682
Te 0.0000 0.0000 0.0000
O 1.0359 4.0264 1.6314
O 3.6896 3.8392 0.0909
O 4.1188 1.1343 1.5750
O 4.1069 1.2174 6.9606
O 1.4532 1.4046 8.5011
O 1.0239 4.1095 7.0170
O 2.8511 3.1300 4.6304
O 2.2917 2.1138 3.9617

The following total DFT energy (no corrections) values (in eV per atom) correspond, in order, to the records above: -3.02, -3.16, -4.94, -3.13, -6.17, -6.36, -7.17, -6.91, -6.31, -5.91, -4.80, -4.74.
The following M_tot values (in Bohr magnetons per cell) correspond, in order, to the records above: 0.115, 1.198, 0.000, 16.969, 0.114, 0.000, 2.030, 0.994, 2.156, 0.000, 0.000, 1.034.